# 1
! CsTbAs, optimized geometry, DFT PBE-GGA; values from VASP
&SYSTEM
  ibrav = 0, nat = 3, ntyp = 3
/
ATOMIC_SPECIES
Cs 132.91 Cs.upf
Tb 158.93 Tb.upf
As 74.92 As.upf
ATOMIC_POSITIONS crystal
Cs 0.0000 0.0000 0.0000
Tb 0.2500 0.2500 0.2500
As 0.7500 0.7500 0.7500
CELL_PARAMETERS angstrom
0.0000 3.7278 3.7278
3.7278 0.0000 3.7278
3.7278 3.7278 0.0000
! Calculated total energy, eV per cell: -8.0

***

# 2
! Zn2BiAu, optimized geometry, DFT PBE-GGA; values from VASP
&SYSTEM
  ibrav = 0, nat = 4, ntyp = 3
/
ATOMIC_SPECIES
Zn 65.41 Zn.upf
Bi 208.98 Bi.upf
Au 196.97 Au.upf
ATOMIC_POSITIONS crystal
Zn 0.0000 0.0000 0.0000
Zn 0.2500 0.2500 0.2500
Bi 0.5000 0.5000 0.5000
Au 0.7500 0.7500 0.7500
CELL_PARAMETERS angstrom
0.0000 3.4615 3.4615
3.4615 0.0000 3.4615
3.4615 3.4615 0.0000
! Calculated total energy, eV per cell: -9.2

***

# 3
! Ta8W5, optimized geometry, DFT PBE-GGA; values from VASP
&SYSTEM
  ibrav = 0, nat = 13, ntyp = 2
/
ATOMIC_SPECIES
Ta 180.95 Ta.upf
W 183.84 W.upf
ATOMIC_POSITIONS crystal
Ta 0.0472 0.0472 0.0472
Ta 0.0865 0.5915 0.5915
Ta 0.4085 0.4085 0.9135
Ta 0.4085 0.9135 0.4085
Ta 0.5915 0.0865 0.5915
Ta 0.5915 0.5915 0.0865
Ta 0.9135 0.4085 0.4085
Ta 0.9528 0.9528 0.9528
W 0.1474 0.1474 0.1474
W 0.3324 0.3324 0.3324
W 0.5000 0.5000 0.5000
W 0.6676 0.6676 0.6676
W 0.8526 0.8526 0.8526
CELL_PARAMETERS angstrom
2.7068 1.5628 9.2087
-2.7068 1.5628 9.2087
0.0000 -3.1255 9.2087
! E_form, kcal/mol of atoms: 7.0

***

# 4
! PrBeAsO, optimized geometry, DFT PBE-GGA; values from VASP
&SYSTEM
  ibrav = 0, nat = 8, ntyp = 4
/
ATOMIC_SPECIES
Pr 140.91 Pr.upf
Be 9.01 Be.upf
As 74.92 As.upf
O 16.00 O.upf
ATOMIC_POSITIONS crystal
Pr 0.0000 0.1631 0.0000
Pr 0.0000 0.8369 0.5000
Be 0.5000 0.3123 0.3531
Be 0.5000 0.6877 0.8531
As 0.5000 0.3367 0.6658
As 0.5000 0.6633 0.1658
O 0.0000 0.2021 0.3192
O 0.0000 0.7979 0.8192
CELL_PARAMETERS angstrom
3.1790 0.0000 0.0000
0.0000 5.4251 0.0000
0.0000 0.0000 7.2487
! Calculated total energy, eV per cell: -48.2

***

# 5
! DyYCN2O2, optimized geometry, DFT PBE-GGA; values from VASP
&SYSTEM
  ibrav = 0, nat = 7, ntyp = 5
/
ATOMIC_SPECIES
Dy 162.50 Dy.upf
Y 88.91 Y.upf
C 12.01 C.upf
N 14.01 N.upf
O 16.00 O.upf
ATOMIC_POSITIONS crystal
Dy 0.0000 0.0000 0.0000
Y 0.3333 0.6667 0.3552
C 0.6667 0.3333 0.6773
N 0.6667 0.3333 0.5257
N 0.6667 0.3333 0.8286
O 0.0000 0.0000 0.2797
O 0.3333 0.6667 0.0729
CELL_PARAMETERS angstrom
3.7063 0.0000 0.0000
-1.8531 3.2097 0.0000
0.0000 0.0000 8.1560
! Calculated total energy, eV per cell: -62.1

***

# 6
! Sc2Fe2SiSnC, optimized geometry, DFT PBE-GGA; values from VASP
&SYSTEM
  ibrav = 0, nat = 7, ntyp = 5
/
ATOMIC_SPECIES
Sc 44.96 Sc.upf
Fe 55.84 Fe.upf
Si 28.09 Si.upf
Sn 118.71 Sn.upf
C 12.01 C.upf
ATOMIC_POSITIONS crystal
Sc 0.0000 0.0000 0.0000
Sc 0.1040 0.1040 0.5456
Fe 0.3746 0.3746 0.2232
Fe 0.7640 0.7640 0.3989
Si 0.3913 0.3913 0.5841
Sn 0.7069 0.7069 0.9651
C 0.5640 0.5640 0.2906
CELL_PARAMETERS angstrom
5.2466 -1.9246 0.0000
5.2466 1.9246 0.0000
-3.9334 0.0000 5.3134
! Calculated total energy, eV per cell: -51.1

***

# 7
! NbGaCuOs, optimized geometry, DFT PBE-GGA; values from VASP
&SYSTEM
  ibrav = 0, nat = 4, ntyp = 4
/
ATOMIC_SPECIES
Nb 92.91 Nb.upf
Ga 69.72 Ga.upf
Cu 63.55 Cu.upf
Os 190.23 Os.upf
ATOMIC_POSITIONS crystal
Nb 0.0000 0.0000 0.0000
Ga 0.5000 0.5000 0.5000
Cu 0.7500 0.7500 0.7500
Os 0.2500 0.2500 0.2500
CELL_PARAMETERS angstrom
0.0000 3.1006 3.1006
3.1006 0.0000 3.1006
3.1006 3.1006 0.0000
! Calculated total energy, eV per cell: -28.4